Record 1
A plane-wave DFT calculation with PBE was carried out for a relaxed AgHI2 crystal.

Calculated values
Relative energy among the computed polymorphs (eV per atom): 0.000

Cell: 5.947 6.352 7.335 Å, 90.00 90.01 90.00°
Space group P2/c (No. 13)
Asymmetric unit:
Ag 0.000 0.001 0.250 x2
H 0.500 0.000 0.000 x2
I 0.285 0.227 0.500 x4

Record 2
A plane-wave DFT calculation with PBE was carried out for a relaxed AgH2I2 crystal.

Calculated values
Relative energy among the computed polymorphs (eV per atom): 0.000

Cell: 6.884 4.328 9.756 Å, 90.00 101.87 90.00°
Space group C2/m (No. 12)
Asymmetric unit:
Ag 0.000 0.000 0.000 x2
H 0.024 0.500 0.469 x4
I 0.236 0.500 0.182 x4